PaGeAu | PBE | relaxed

Calculated values
Density of states at the Fermi level: 1.2317 states/eV per atom
Calculated density: 12.82 Mg/m³
Total DFT energy (no corrections): -0.22623 Ha/atom
Formation enthalpy at 0 K: -104.0 kJ/mol of formula units
Crystal system: tetragonal

Unit cell a=4.269 b=4.269 c=7.112 alpha=90.00 beta=90.00 gamma=90.00
Space group P4/nmm (No. 129, origin choice 2)
Symmetry-distinct sites (fractional):
Pa  0.250  0.250  0.174 (multiplicity 2)
Ge  0.250  0.250  0.768 (multiplicity 2)
Au  0.250  0.750  0.500 (multiplicity 2)